First-principles (PBE-GGA) data for crystalline CeYHg at its relaxed geometry, as listed in Alexandria via LeMat-Bulk.

Geometry as extended XYZ:
```
6
Lattice="3.591 0.000 0.000 0.000 5.313 0.000 -1.796 0.000 8.596" Properties=species:S:1:pos:R:3 pbc="T T T"
Hg 0.000 1.328 7.130
Hg 1.796 3.985 1.466
Y 1.796 3.985 7.279
Y 0.000 1.328 1.317
Ce 1.796 1.328 4.477
Ce 0.000 3.985 4.119
```

## Properties
**Volume**: 164.0 Å³ per cell
**N(E_F)**: 11.66 states/eV per cell
**Mass density**: 8.70 g cm⁻³
**Total moment**: 0.20 μB/atom
**Formation enthalpy at 0 K**: -0.261 eV per atom
**Offset from the most stable computed form**: 0 meV per atom

First-principles (PBE-GGA) data for crystalline CeYHg2 at its relaxed geometry, as listed in Alexandria via LeMat-Bulk.

Geometry as extended XYZ:
```
4
Lattice="3.705 0.000 0.000 0.000 3.705 0.000 0.000 0.000 7.857" Properties=species:S:1:pos:R:3 pbc="T T T"
Hg 0.000 0.000 6.031
Hg 0.000 0.000 1.826
Ce 1.852 1.852 3.928
Y 1.852 1.852 0.000
```

## Properties
**Volume**: 107.8 Å³ per cell
**N(E_F)**: 9.60 states/eV per cell
**Mass density**: 9.70 g cm⁻³
**Total moment**: 0.37 μB/atom
**Formation enthalpy at 0 K**: -0.398 eV per atom
**Offset from the most stable computed form**: 0 meV per atom

First-principles (PBE-GGA) data for crystalline CeYHg6 at its relaxed geometry, as listed in Alexandria via LeMat-Bulk.

Geometry as extended XYZ:
```
8
Lattice="4.745 0.000 0.000 0.000 4.745 0.000 0.000 0.000 9.079" Properties=species:S:1:pos:R:3 pbc="T T T"
Hg 2.373 2.373 4.539
Hg 0.000 2.373 2.316
Hg 0.000 2.373 6.763
Hg 2.373 2.373 0.000
Hg 2.373 0.000 2.316
Hg 2.373 0.000 6.763
Ce 0.000 0.000 0.000
Y 0.000 0.000 4.539
```

## Properties
**Volume**: 204.4 Å³ per cell
**N(E_F)**: 13.82 states/eV per cell
**Mass density**: 11.64 g cm⁻³
**Total moment**: 0.19 μB/atom
**Formation enthalpy at 0 K**: -0.283 eV per atom
**Offset from the most stable computed form**: 43 meV per atom

First-principles (PBE-GGA) data for crystalline CeYHg6 at its relaxed geometry, as listed in Alexandria via LeMat-Bulk.

Geometry as extended XYZ:
```
8
Lattice="-3.431 2.870 2.326 -4.880 -4.250 -1.956 3.171 -0.982 5.889" Properties=species:S:1:pos:R:3 pbc="T T T"
Hg -5.927 -2.543 -0.141
Hg -3.487 -0.425 0.845
Hg -1.545 -2.896 1.293
Hg 0.063 -3.403 4.291
Hg -4.337 -3.026 2.800
Hg 0.937 -0.729 2.281
Y 2.494 -1.257 5.229
Ce -1.893 -0.906 3.789
```

## Properties
**Volume**: 199.6 Å³ per cell
**N(E_F)**: 12.32 states/eV per cell
**Mass density**: 11.92 g cm⁻³
**Total moment**: 0.14 μB/atom
**Formation enthalpy at 0 K**: -0.327 eV per atom
**Offset from the most stable computed form**: 0 meV per atom

First-principles (PBE-GGA) data for crystalline CeYZnHg at its relaxed geometry, as listed in Alexandria via LeMat-Bulk.

Geometry as extended XYZ:
```
4
Lattice="5.246 0.000 0.000 2.623 4.543 0.000 2.623 1.514 4.284" Properties=species:S:1:pos:R:3 pbc="T T T"
Y 7.869 4.543 3.213
Ce 2.623 1.514 1.071
Hg 5.246 3.029 2.142
Zn 0.000 0.000 0.000
```

## Properties
**Volume**: 102.1 Å³ per cell
**N(E_F)**: 10.02 states/eV per cell
**Mass density**: 8.05 g cm⁻³
**Total moment**: 0.41 μB/atom
**Formation enthalpy at 0 K**: -0.301 eV per atom

First-principles (PBE-GGA) data for crystalline Ce5Zn3Hg3 at its relaxed geometry, as listed in Alexandria via LeMat-Bulk.

Geometry as extended XYZ:
```
11
Lattice="3.087 0.000 0.000 0.000 8.617 -4.975 0.000 0.000 9.950" Properties=species:S:1:pos:R:3 pbc="T T T"
Ce 1.544 5.590 3.228
Ce 1.544 5.745 0.000
Ce 1.544 3.026 -1.747
Ce 1.544 2.872 4.975
Ce 1.544 0.000 3.495
Zn 1.544 1.243 0.718
Zn 1.544 7.374 -4.257
Zn 1.544 0.000 8.514
Hg 0.000 5.438 -3.140
Hg 0.000 0.000 6.280
Hg 0.000 3.179 1.835
```

## Properties
**Volume**: 264.7 Å³ per cell
**N(E_F)**: 26.20 states/eV per cell
**Mass density**: 9.40 g cm⁻³
**Total moment**: 0.40 μB/atom
**Formation enthalpy at 0 K**: 0.047 eV per atom